Here is an optimized crystal structure of PdWO2 from the Alexandria database. Energies are from GGA+U.

Values from the calculation:
Total magnetization ... 0.5468 μB/atom
E above lowest polymorph ... 1.78 eV per formula unit
Fermi-level density of states ... 0.790 states/eV per atom
Crystal system ... trigonal
Space-group type ... No. 166

POSCAR file:
```
PdWO2
1.0
1.537 0.887 6.724
-1.537 0.887 6.724
0.000 -1.775 6.724
Pd W O
1 1 2
direct
0.000 0.000 0.000 Pd
0.500 0.500 0.500 W
0.406 0.406 0.406 O
0.594 0.594 0.594 O
```